No. 1
This record from the Alexandria database describes a relaxed structure of Ba2AgRuN. The functional is GGA-PBEsol.

The structure in POSCAR format:
```
Ba2AgRuN
1.0
6.0632 0.0000 0.0000
0.0000 6.0632 0.0000
0.0000 0.0000 4.7721
Ba Ag Ru N
2 1 1 1
Direct
0.0000 0.5000 0.0000 Ba
0.5000 0.0000 0.0000 Ba
0.0000 0.0000 0.0000 Ag
0.0000 0.0000 0.5000 Ru
0.5000 0.5000 0.5000 N
```

## Properties
* uncorrected formation energy: 1.45 eV per atom



No. 2
This record from the Alexandria database describes a relaxed structure of BaAgSN2. The functional is GGA-PBEsol.

The structure in POSCAR format:
```
BaAgSN2
1.0
4.2812 0.0000 0.0000
0.0000 4.2812 0.0000
0.0000 0.0000 4.4511
Ba Ag S N
1 1 1 2
Direct
0.0000 0.0000 0.0000 Ba
0.5000 0.5000 0.0000 Ag
0.5000 0.5000 0.5000 S
0.0000 0.5000 0.5000 N
0.5000 0.0000 0.5000 N
```

## Properties
* uncorrected formation energy: 0.88 eV per atom



No. 3
This record from the Alexandria database describes a relaxed structure of BaNa2Ag2. The functional is GGA-PBEsol.

The structure in POSCAR format:
```
BaNa2Ag2
1.0
-2.2792 2.2792 7.0275
2.2792 -2.2792 7.0275
2.2792 2.2792 -7.0275
Ba Na Ag
1 2 2
Direct
0.0000 0.0000 0.0000 Ba
0.2500 0.7500 0.5000 Na
0.7500 0.2500 0.5000 Na
0.4028 0.4028 0.0000 Ag
0.5972 0.5972 0.0000 Ag
```

## Properties
* energy of formation: -0.37 eV/f.u.



No. 4
This record from the Alexandria database describes a relaxed structure of BaNa3Ag. The functional is GGA-PBEsol.

The structure in POSCAR format:
```
BaNa3Ag
1.0
5.7060 0.0000 0.0000
0.0000 5.7060 0.0000
0.0000 0.0000 5.7060
Ba Na Ag
1 3 1
Direct
0.0000 0.0000 0.0000 Ba
0.0000 0.5000 0.5000 Na
0.5000 0.0000 0.5000 Na
0.5000 0.5000 0.0000 Na
0.5000 0.5000 0.5000 Ag
```

## Properties
* energy of formation: 0.60 eV/f.u.



No. 5
This record from the Alexandria database describes a relaxed structure of Ba2NaAg. The functional is GGA-PBEsol.

The structure in POSCAR format:
```
Ba2NaAg
1.0
0.0000 4.2198 4.2198
4.2198 0.0000 4.2198
4.2198 4.2198 0.0000
Ba Na Ag
2 1 1
Direct
0.2500 0.2500 0.2500 Ba
0.7500 0.7500 0.7500 Ba
0.0000 0.0000 0.0000 Na
0.5000 0.5000 0.5000 Ag
```

## Properties
* energy of formation: -0.07 eV/f.u.



No. 6
This record from the Alexandria database describes a relaxed structure of BaNaAg2. The functional is GGA-PBEsol.

The structure in POSCAR format:
```
BaNaAg2
1.0
0.0000 3.8465 3.8465
3.8465 0.0000 3.8465
3.8465 3.8465 0.0000
Ba Na Ag
1 1 2
Direct
0.0000 0.0000 0.0000 Ba
0.5000 0.5000 0.5000 Na
0.2500 0.2500 0.2500 Ag
0.7500 0.7500 0.7500 Ag
```

## Properties
* energy of formation: -0.15 eV/f.u.



No. 7
This record from the Alexandria database describes a relaxed structure of BaNaAg3. The functional is GGA-PBEsol.

The structure in POSCAR format:
```
BaNaAg3
1.0
6.0777 0.0000 0.0000
0.0000 6.0777 0.0000
0.0000 0.0000 6.0777
Ba Na Ag
1 1 3
Direct
0.0000 0.0000 0.0000 Ba
0.5000 0.5000 0.5000 Na
0.0000 0.0000 0.5000 Ag
0.0000 0.5000 0.0000 Ag
0.5000 0.0000 0.0000 Ag
```

## Properties
* energy of formation: 3.81 eV/f.u.



No. 8
This record from the Alexandria database describes a relaxed structure of Ba2NaAg2. The functional is GGA-PBEsol.

The structure in POSCAR format:
```
Ba2NaAg2
1.0
8.6886 0.0000 0.0000
0.0000 8.6886 0.0000
0.0000 0.0000 4.5330
Ba Na Ag
4 2 4
Direct
0.1732 0.3268 0.0000 Ba
0.3268 0.8268 0.0000 Ba
0.6732 0.1732 0.0000 Ba
0.8268 0.6732 0.0000 Ba
0.0000 0.0000 0.5000 Na
0.5000 0.5000 0.5000 Na
0.1167 0.6167 0.5000 Ag
0.3833 0.1167 0.5000 Ag
0.6167 0.8833 0.5000 Ag
0.8833 0.3833 0.5000 Ag
```

## Properties
* energy of formation: -0.86 eV/f.u.



No. 9
This record from the Alexandria database describes a relaxed structure of Ba2NbAg. The functional is GGA-PBEsol.

The structure in POSCAR format:
```
Ba2NbAg
1.0
0.0000 4.0314 4.0314
4.0314 0.0000 4.0314
4.0314 4.0314 0.0000
Ba Nb Ag
2 1 1
Direct
0.2500 0.2500 0.2500 Ba
0.7500 0.7500 0.7500 Ba
0.0000 0.0000 0.0000 Nb
0.5000 0.5000 0.5000 Ag
```

## Properties
* energy of formation: 3.05 eV/f.u.



No. 10
This record from the Alexandria database describes a relaxed structure of BaNi2Ag. The functional is GGA-PBEsol.

The structure in POSCAR format:
```
BaNi2Ag
1.0
-2.0261 2.0261 4.5020
2.0261 -2.0261 4.5020
2.0261 2.0261 -4.5020
Ba Ni Ag
1 2 1
Direct
0.0000 0.0000 0.0000 Ba
0.5000 0.5000 0.0000 Ni
0.7500 0.2500 0.5000 Ni
0.2500 0.7500 0.5000 Ag
```

## Properties
* energy of formation: 2.24 eV/f.u.



No. 11
This record from the Alexandria database describes a relaxed structure of BaNi2Ag. The functional is GGA-PBEsol.

The structure in POSCAR format:
```
BaNi2Ag
1.0
3.1503 0.0000 0.0000
0.0000 3.5157 0.0000
0.0000 0.0000 6.7382
Ba Ni Ag
1 2 1
Direct
0.0000 0.0000 0.0000 Ba
0.5000 0.5000 0.3247 Ni
0.5000 0.5000 0.6753 Ni
0.0000 0.0000 0.5000 Ag
```

## Properties
* energy of formation: 1.67 eV/f.u.



No. 12
This record from the Alexandria database describes a relaxed structure of BaNiAg4. The functional is GGA-PBEsol.

The structure in POSCAR format:
```
BaNiAg4
1.0
0.0000 3.9262 3.9262
3.9262 0.0000 3.9262
3.9262 3.9262 0.0000
Ba Ni Ag
1 1 4
Direct
0.0000 0.0000 0.0000 Ba
0.2500 0.2500 0.2500 Ni
0.1287 0.6238 0.6238 Ag
0.6238 0.1287 0.6238 Ag
0.6238 0.6238 0.1287 Ag
0.6238 0.6238 0.6238 Ag
```

## Properties
* energy of formation: 1.02 eV/f.u.